The following is a GGA+U calculation of crystalline CaNi2P4O14 at its relaxed geometry, from the Alexandria database.

The structure in POSCAR format:
```
CaNi2P4O14
1.0
6.483 0.002 0.018
-0.796 6.593 0.103
0.300 -2.683 6.045
Ca Ni P O
1 2 4 14
Direct
0.904 0.746 0.236 Ca
0.355 0.102 0.207 Ni
0.649 0.900 0.786 Ni
0.862 0.221 0.237 P
0.135 0.784 0.751 P
0.382 0.639 0.338 P
0.617 0.358 0.660 P
0.224 0.614 0.526 O
0.794 0.367 0.485 O
0.039 0.097 0.256 O
0.963 0.885 0.684 O
0.412 0.252 0.535 O
0.590 0.758 0.450 O
0.613 0.596 0.820 O
0.404 0.405 0.180 O
0.045 0.650 0.882 O
0.918 0.383 0.131 O
0.326 0.940 0.871 O
0.674 0.046 0.130 O
0.667 0.201 0.763 O
0.284 0.784 0.245 O
```

Space-group type = P1
Total DFT energy (no corrections) = -0.4872 Ry per atom